[1]
# AcZn2Cu8 (PBE-GGA, relaxed)
data_AcZn2Cu8
_chemical_formula_sum 'Ac1 Zn2 Cu8'
_cell_length_a 4.7874
_cell_length_b 4.7874
_cell_length_c 9.0686
_cell_angle_alpha 90.00
_cell_angle_beta 90.00
_cell_angle_gamma 90.00
_space_group_name_H-M_alt 'P 1'
_space_group_IT_number 1
loop_
_space_group_symop_operation_xyz
'x,y,z'
loop_
_atom_site_label
_atom_site_type_symbol
_atom_site_fract_x
_atom_site_fract_y
_atom_site_fract_z
Ac1 Ac 0.5000 0.5000 0.5000
Zn1 Zn 0.5000 0.0000 0.0000
Zn2 Zn 0.0000 0.5000 0.0000
Cu1 Cu 0.7520 0.7520 0.2130
Cu2 Cu 0.7520 0.2480 0.7870
Cu3 Cu 0.7520 0.7520 0.7870
Cu4 Cu 0.7520 0.2480 0.2130
Cu5 Cu 0.2480 0.7520 0.2130
Cu6 Cu 0.2480 0.7520 0.7870
Cu7 Cu 0.2480 0.2480 0.2130
Cu8 Cu 0.2480 0.2480 0.7870
# - energy relative to the elements (eV per atom) = 0.236
# - space-group type = P4/mmm (123)
# - crystal system = tetragonal

[2]
# Ac2ZnCu7 (PBE-GGA, relaxed)
data_Ac2ZnCu7
_chemical_formula_sum 'Ac2 Zn1 Cu7'
_cell_length_a 4.3250
_cell_length_b 4.3250
_cell_length_c 10.0100
_cell_angle_alpha 90.00
_cell_angle_beta 90.00
_cell_angle_gamma 90.00
_space_group_name_H-M_alt 'P 1'
_space_group_IT_number 1
loop_
_space_group_symop_operation_xyz
'x,y,z'
loop_
_atom_site_label
_atom_site_type_symbol
_atom_site_fract_x
_atom_site_fract_y
_atom_site_fract_z
Ac1 Ac 0.5000 0.0000 0.7428
Ac2 Ac 0.0000 0.5000 0.2572
Zn1 Zn 0.5000 0.5000 0.0000
Cu1 Cu 0.0000 0.5000 0.8707
Cu2 Cu 0.5000 0.0000 0.3769
Cu3 Cu 0.5000 0.0000 0.1293
Cu4 Cu 0.0000 0.5000 0.6231
Cu5 Cu 0.0000 0.0000 0.5000
Cu6 Cu 0.0000 0.0000 0.0000
Cu7 Cu 0.5000 0.5000 0.5000
# - energy relative to the elements (eV per atom) = -0.140
# - space-group type = P-4m2 (115)
# - crystal system = tetragonal

[3]
# AcDy (PBE-GGA, relaxed)
data_AcDy
_chemical_formula_sum 'Ac2 Dy2'
_cell_length_a 3.7963
_cell_length_b 7.4516
_cell_length_c 5.3390
_cell_angle_alpha 90.00
_cell_angle_beta 90.00
_cell_angle_gamma 89.99
_space_group_name_H-M_alt 'P 1'
_space_group_IT_number 1
loop_
_space_group_symop_operation_xyz
'x,y,z'
loop_
_atom_site_label
_atom_site_type_symbol
_atom_site_fract_x
_atom_site_fract_y
_atom_site_fract_z
Ac1 Ac 0.2497 0.6346 0.2500
Ac2 Ac 0.7503 0.3654 0.7500
Dy1 Dy 0.2503 0.1157 0.2500
Dy2 Dy 0.7497 0.8843 0.7500
# - energy relative to the elements (eV per atom) = 0.063
# - energy above the most stable polymorph in this dataset (meV/atom) = 0
# - space-group type = Pmmn (59)
# - crystal system = orthorhombic

[4]
# Ac5Dy2 (PBE-GGA, relaxed)
data_Ac5Dy2
_chemical_formula_sum 'Ac5 Dy2'
_cell_length_a 3.8043
_cell_length_b 6.5842
_cell_length_c 12.7027
_cell_angle_alpha 101.55
_cell_angle_beta 81.39
_cell_angle_gamma 73.21
_space_group_name_H-M_alt 'P 1'
_space_group_IT_number 1
loop_
_space_group_symop_operation_xyz
'x,y,z'
loop_
_atom_site_label
_atom_site_type_symbol
_atom_site_fract_x
_atom_site_fract_y
_atom_site_fract_z
Ac1 Ac 0.3758 0.3896 0.8589
Ac2 Ac 0.6242 0.6104 0.1411
Ac3 Ac 0.0000 0.0000 0.0000
Ac4 Ac 0.7604 0.7765 0.7026
Ac5 Ac 0.2396 0.2235 0.2974
Dy1 Dy 0.5950 0.2558 0.5543
Dy2 Dy 0.4050 0.7442 0.4457
# - energy relative to the elements (eV per atom) = 0.141
# - space-group type = C2/m (12)
# - crystal system = monoclinic

[5]
# Ac5Dy (PBE-GGA, relaxed)
data_Ac5Dy
_chemical_formula_sum 'Ac5 Dy1'
_cell_length_a 3.9409
_cell_length_b 8.7487
_cell_length_c 7.8142
_cell_angle_alpha 102.61
_cell_angle_beta 90.00
_cell_angle_gamma 103.02
_space_group_name_H-M_alt 'P 1'
_space_group_IT_number 1
loop_
_space_group_symop_operation_xyz
'x,y,z'
loop_
_atom_site_label
_atom_site_type_symbol
_atom_site_fract_x
_atom_site_fract_y
_atom_site_fract_z
Ac1 Ac 0.0320 0.0639 0.0513
Ac2 Ac 0.6944 0.3888 0.3887
Ac3 Ac 0.3567 0.7135 0.7262
Ac4 Ac 0.3585 0.7171 0.2162
Ac5 Ac 0.0305 0.0611 0.5619
Dy1 Dy 0.6945 0.3890 0.8890
# - energy relative to the elements (eV per atom) = 0.040
# - energy above the most stable polymorph in this dataset (meV/atom) = 2
# - space-group type = C2/m (12)
# - crystal system = monoclinic

[6]
# AcDy (PBE-GGA, relaxed)
data_AcDy
_chemical_formula_sum 'Ac2 Dy2'
_cell_length_a 6.0184
_cell_length_b 6.0184
_cell_length_c 6.0123
_cell_angle_alpha 59.97
_cell_angle_beta 59.97
_cell_angle_gamma 60.00
_space_group_name_H-M_alt 'P 1'
_space_group_IT_number 1
loop_
_space_group_symop_operation_xyz
'x,y,z'
loop_
_atom_site_label
_atom_site_type_symbol
_atom_site_fract_x
_atom_site_fract_y
_atom_site_fract_z
Ac1 Ac 0.3744 0.3744 0.8768
Ac2 Ac 0.6256 0.6256 0.1232
Dy1 Dy 0.1244 0.1244 0.6268
Dy2 Dy 0.8756 0.8756 0.3732
# - energy relative to the elements (eV per atom) = 0.202
# - energy above the most stable polymorph in this dataset (meV/atom) = 139
# - space-group type = R-3m (166)
# - crystal system = trigonal

[7]
# Ac5Dy (PBE-GGA, relaxed)
data_Ac5Dy
_chemical_formula_sum 'Ac5 Dy1'
_cell_length_a 5.5482
_cell_length_b 5.5295
_cell_length_c 8.7771
_cell_angle_alpha 108.36
_cell_angle_beta 90.00
_cell_angle_gamma 90.00
_space_group_name_H-M_alt 'P 1'
_space_group_IT_number 1
loop_
_space_group_symop_operation_xyz
'x,y,z'
loop_
_atom_site_label
_atom_site_type_symbol
_atom_site_fract_x
_atom_site_fract_y
_atom_site_fract_z
Ac1 Ac 0.0000 0.6629 0.3257
Ac2 Ac 0.0000 0.3371 0.6743
Ac3 Ac 0.5000 0.5000 0.0000
Ac4 Ac 0.5000 0.1644 0.3289
Ac5 Ac 0.5000 0.8356 0.6711
Dy1 Dy 0.0000 0.0000 0.0000
# - energy relative to the elements (eV per atom) = 0.038
# - energy above the most stable polymorph in this dataset (meV/atom) = 0
# - space-group type = Cmmm (65)
# - crystal system = orthorhombic

[8]
# Ac8Dy3 (PBE-GGA, relaxed)
data_Ac8Dy3
_chemical_formula_sum 'Ac8 Dy3'
_cell_length_a 8.2363
_cell_length_b 8.2363
_cell_length_c 8.2363
_cell_angle_alpha 105.64
_cell_angle_beta 105.64
_cell_angle_gamma 105.64
_space_group_name_H-M_alt 'P 1'
_space_group_IT_number 1
loop_
_space_group_symop_operation_xyz
'x,y,z'
loop_
_atom_site_label
_atom_site_type_symbol
_atom_site_fract_x
_atom_site_fract_y
_atom_site_fract_z
Ac1 Ac 0.6893 0.2013 0.0819
Ac2 Ac 0.0819 0.6893 0.2013
Ac3 Ac 0.2013 0.0819 0.6893
Ac4 Ac 0.7333 0.7333 0.7333
Ac5 Ac 0.2667 0.2667 0.2667
Ac6 Ac 0.7987 0.9181 0.3107
Ac7 Ac 0.9181 0.3107 0.7987
Ac8 Ac 0.3107 0.7987 0.9181
Dy1 Dy 0.0000 0.5000 0.5000
Dy2 Dy 0.5000 0.0000 0.5000
Dy3 Dy 0.5000 0.5000 0.0000
# - energy relative to the elements (eV per atom) = 0.405
# - space-group type = R-3 (148)
# - crystal system = trigonal

no.,calculated volume (Å³/cell)
1,207.8
2,187.2
3,151.0
4,291.0
5,255.8
6,153.9
7,255.6
8,481.5